Entry from OQMD: an optimized crystal structure of Ta3FeS6 (PBE).

Cell lengths 9.9921, 5.7750, 12.1636 Å; angles 90.00, 90.10, 90.00 degrees
Closest atoms and distances in Å follow each position.
Space group C2 (No. 5)
Symmetry-distinct sites (fractional):
Ta 0.0000 0.0000 0.0000 x2  6 S 2.48
Ta 0.0000 0.9999 0.5000 x2  6 S 2.48
Ta 0.1666 0.4995 0.0016 x4  6 S 2.47-2.50
Ta 0.1669 0.4990 0.4984 x4  6 S 2.47-2.50
Fe 0.1667 0.4994 0.7500 x4  6 S 2.42-2.43
S 0.9996 0.6668 0.3709 x4  1 Fe 2.42, 3 Ta 2.48-2.50
S 0.0006 0.3312 0.1292 x4  1 Fe 2.43, 3 Ta 2.47-2.50
S 0.1663 0.1646 0.6293 x4  1 Fe 2.43, 3 Ta 2.47-2.50
S 0.1655 0.1662 0.3708 x4  1 Fe 2.43, 3 Ta 2.47-2.50
S 0.1661 0.8344 0.8709 x4  1 Fe 2.43, 3 Ta 2.47-2.50
S 0.1666 0.8334 0.1292 x4  1 Fe 2.42, 3 Ta 2.48-2.50

## Properties
Energy, eV for the cell shown: -313.85
Magnetic moment, μB/f.u.: 3.34

Entry from OQMD: an optimized crystal structure of LuNbPt (PBE).

Cell lengths 6.4603, 6.4603, 6.4603 Å; angles 90.00, 90.00, 90.00 degrees
Closest atoms and distances in Å follow each position.
Space group F-43m (No. 216)
Symmetry-distinct sites (fractional):
Lu 0.0000 0.0000 0.0000 x4  4 Pt 2.80
Nb 0.0000 0.0000 0.5000 x4  4 Pt 2.80
Pt 0.2500 0.2500 0.2500 x4  4 Nb 2.80, 4 Lu 2.80

## Properties
ΔH_f (0 K), meV/atom: -315
Energy above the most stable polymorph in this dataset, meV/atom: 0.0
Energy, eV for the cell shown: -86.48
Magnetic moment, μB/f.u.: 0.01

Entry from OQMD: an optimized crystal structure of Co2Ge (PBE).

Cell lengths 5.0371, 3.8294, 7.2336 Å; angles 90.00, 90.00, 90.00 degrees
Closest atoms and distances in Å follow each position.
Space group Pnma (No. 62)
Symmetry-distinct sites (fractional):
Co 0.0383 0.2500 0.2203 x4  5 Ge 2.41-2.63, 7 Co 2.55-2.70
Co 0.1749 0.2500 0.5621 x4  4 Ge 2.35-2.39, 1 Co 2.57
Ge 0.2041 0.2500 0.8924 x4  9 Co 2.35-2.63

## Properties
Energy, eV for the cell shown: -77.10
Magnetic moment, μB/f.u.: 1.17

Entry from OQMD: an optimized crystal structure of TbTeAsO (PBE).

Cell lengths 5.7042, 5.7042, 5.2165 Å; angles 90.00, 90.00, 90.00 degrees
Closest atoms and distances in Å follow each position.
Space group P4/nmm (No. 129, origin choice 2)
Symmetry-distinct sites (fractional):
Tb 0.2500 0.7500 0.0000 x2  2 O 2.61, 4 As 2.89
Te 0.2500 0.2500 0.4206 x2  2 As 2.59-2.63, 4 O 2.88
As 0.2500 0.2500 0.9161 x2  2 Te 2.59-2.63, 4 Tb 2.89
O 0.2500 0.7500 0.5000 x2  2 Tb 2.61, 4 Te 2.88

## Properties
Energy above the most stable polymorph in this dataset, meV/atom: 586.8
Energy, eV for the cell shown: -40.53
Magnetic moment, μB/f.u.: 0.00

Entry from OQMD: an optimized crystal structure of CoNiHgSb (PBE).

Cell lengths 6.3477, 6.3477, 6.3477 Å; angles 90.00, 90.00, 90.00 degrees
Closest atoms and distances in Å follow each position.
Space group F-43m (No. 216)
Symmetry-distinct sites (fractional):
Co 0.0000 0.0000 0.0000 x4  4 Sb 2.75, 4 Hg 2.75
Ni 0.0000 0.0000 0.5000 x4  4 Hg 2.75, 4 Sb 2.75
Hg 0.2500 0.2500 0.2500 x4  4 Co 2.75, 4 Ni 2.75
Sb 0.2500 0.2500 0.7500 x4  4 Co 2.75, 4 Ni 2.75

## Properties
Energy above the most stable polymorph in this dataset, meV/atom: 0.0
Energy, eV for the cell shown: -64.28
Magnetic moment, μB/f.u.: 0.05

Entry from OQMD: an optimized crystal structure of TbSm2Ni4Sn4 (PBE).

Cell lengths 4.4733, 6.9987, 14.5144 Å; angles 90.00, 90.00, 90.00 degrees
Closest atoms and distances in Å follow each position.
Space group Immm (No. 71)
Symmetry-distinct sites (fractional):
Tb 0.0000 0.0000 0.0000 x2  6 Sn 3.04-3.13
Sm 0.0000 0.5000 0.1323 x4  6 Ni 3.07-3.19, 6 Sn 3.14-3.28
Ni 0.0000 0.3121 0.3236 x8  1 Ni 2.63, 4 Sn 2.66-2.68
Sn 0.0000 0.0000 0.2160 x4  6 Ni 2.66-2.68
Sn 0.0000 0.2048 0.5000 x4  2 Ni 2.67, 1 Sn 2.87

## Properties
Energy, eV for the cell shown: -116.86
Magnetic moment, μB/f.u.: 0.00

Entry from OQMD: an optimized crystal structure of ZrFeNiAs (PBE).

Cell lengths 6.1285, 6.1285, 6.1285 Å; angles 90.00, 90.00, 90.00 degrees
Closest atoms and distances in Å follow each position.
Space group F-43m (No. 216)
Symmetry-distinct sites (fractional):
Zr 0.0000 0.0000 0.0000 x4  4 Fe 2.65, 4 Ni 2.65
Fe 0.2500 0.2500 0.7500 x4  4 Zr 2.65, 4 As 2.65
Ni 0.2500 0.2500 0.2500 x4  4 Zr 2.65, 4 As 2.65
As 0.0000 0.0000 0.5000 x4  4 Ni 2.65, 4 Fe 2.65

## Properties
Energy above the most stable polymorph in this dataset, meV/atom: 0.0
Energy, eV for the cell shown: -111.99
Magnetic moment, μB/f.u.: 1.52

Entry from OQMD: an optimized crystal structure of SrGaHg (PBE).

Cell lengths 7.4121, 7.4121, 7.4121 Å; angles 90.00, 90.00, 90.00 degrees
Closest atoms and distances in Å follow each position.
Space group F-43m (No. 216)
Symmetry-distinct sites (fractional):
Sr 0.0000 0.0000 0.0000 x4  4 Hg 3.21, 4 Ga 3.21
Ga 0.2500 0.2500 0.7500 x4  4 Sr 3.21
Hg 0.2500 0.2500 0.2500 x4  4 Sr 3.21

## Properties
Energy above the most stable polymorph in this dataset, meV/atom: 298.3
Energy, eV for the cell shown: -19.54

Entry from OQMD: an optimized crystal structure of TmPbAuS3 (PBE).

Cell lengths 11.6234, 4.0237, 12.7701 Å; angles 90.00, 90.00, 90.00 degrees
Closest atoms and distances in Å follow each position.
Space group Pnma (No. 62)
Symmetry-distinct sites (fractional):
Tm 0.0295 0.2500 0.1516 x4  6 S 2.67-2.79
Pb 0.1531 0.2500 0.5592 x4  3 S 2.74-2.84
Au 0.2181 0.7500 0.3715 x4  2 S 2.34-2.35
S 0.0332 0.7500 0.2971 x4  1 Au 2.35
S 0.0958 0.2500 0.9417 x4  1 Au 2.34
S 0.2430 0.7500 0.6794 x4  1 Tm 2.67, 2 Pb 2.74

## Properties
Energy above the most stable polymorph in this dataset, meV/atom: 62.8
Energy, eV for the cell shown: -118.94
Magnetic moment, μB/f.u.: 0.00

Entry from OQMD: an optimized crystal structure of Dy2Y2In (PBE).

Cell lengths 8.2089, 8.2089, 4.5068 Å; angles 90.00, 90.00, 90.00 degrees
Closest atoms and distances in Å follow each position.
Space group P4/mbm (No. 127)
Symmetry-distinct sites (fractional):
Dy 0.1470 0.3530 0.0000 x4  2 In 3.14, 6 Y 3.23-3.34, 1 Dy 3.41
Y 0.1540 0.6540 0.5000 x4  6 Dy 3.23-3.34, 1 Y 3.58
In 0.0000 0.0000 0.0000 x2  4 Dy 3.14

## Properties
Energy, eV for the cell shown: -49.54
Magnetic moment, μB/f.u.: 0.01

Entry from OQMD: an optimized crystal structure of LiCuTe2MoS (PBE).

Cell lengths 3.5751, 14.0466, 9.6787 Å; angles 90.00, 90.00, 90.00 degrees
Closest atoms and distances in Å follow each position.
Space group Cmcm (No. 63)
Symmetry-distinct sites (fractional):
Li 0.0000 0.2038 0.2500 x4  2 S 2.56
Cu 0.0000 0.0236 0.7500 x4  2 S 2.25
Te 0.0000 0.1483 0.5548 x8  1 Cu 2.58, 2 Mo 2.80
Mo 0.0000 0.5000 0.0000 x4  2 S 2.63, 4 Te 2.80
S 0.0000 0.4262 0.7500 x4  2 Cu 2.25

## Properties
Energy, eV for the cell shown: -114.11
Magnetic moment, μB/f.u.: 1.77

Entry from OQMD: an optimized crystal structure of CdCu2GeTe3Se (PBE).

Cell lengths 8.7001, 8.6998, 7.3258 Å; angles 90.00, 125.90, 90.00 degrees
Closest atoms and distances in Å follow each position.
Space group Cm (No. 8)
Symmetry-distinct sites (fractional):
Cd 0.0000 0.0000 0.0000 x2  1 Se 2.72, 3 Te 2.85-2.89
Cu 0.4828 0.2387 0.4822 x4  1 Se 2.45, 3 Te 2.58-2.60
Ge 0.4791 0.0000 0.0009 x2  1 Se 2.49, 3 Te 2.66-2.67
Te 0.3480 0.2363 0.7159 x4  2 Cu 2.58-2.59, 1 Ge 2.66, 1 Cd 2.85
Te 0.3583 0.5000 0.2710 x2  2 Cu 2.60, 1 Ge 2.67, 1 Cd 2.89
Se 0.3866 0.0000 0.2639 x2  2 Cu 2.45, 1 Ge 2.49, 1 Cd 2.72

## Properties
Energy, eV for the cell shown: -55.28

Entry from OQMD: an optimized crystal structure of ErPaNO (PBE).

Cell lengths 6.6730, 8.2259, 5.0092 Å; angles 90.00, 90.00, 90.00 degrees
Closest atoms and distances in Å follow each position.
Space group Pca2_1 (No. 29)
Symmetry-distinct sites (fractional):
Er 0.0693 0.1167 0.0000 x4  3 O 2.22-2.49, 1 N 2.29
Pa 0.0779 0.6313 0.9974 x4  4 N 2.34-2.52, 1 O 2.36
N 0.0675 0.6280 0.4945 x4  1 Er 2.29, 4 Pa 2.34-2.52
O 0.0976 0.1203 0.5050 x4  3 Er 2.22-2.49, 1 Pa 2.36

## Properties
Energy above the most stable polymorph in this dataset, meV/atom: 25.7
Energy, eV for the cell shown: -133.81
Magnetic moment, μB/f.u.: 0.78

Entry from OQMD: an optimized crystal structure of MgGeTeW (PBE).

Cell lengths 6.6774, 6.6774, 6.6774 Å; angles 90.00, 90.00, 90.00 degrees
Closest atoms and distances in Å follow each position.
Space group F-43m (No. 216)
Symmetry-distinct sites (fractional):
Mg 0.0000 0.0000 0.0000 x4  4 Te 2.89, 4 Ge 2.89
Ge 0.2500 0.2500 0.7500 x4  4 W 2.89, 4 Mg 2.89
Te 0.2500 0.2500 0.2500 x4  4 W 2.89, 4 Mg 2.89
W 0.0000 0.0000 0.5000 x4  4 Ge 2.89, 4 Te 2.89

## Properties
Energy above the most stable polymorph in this dataset, meV/atom: 0.0
Energy, eV for the cell shown: -82.09
Magnetic moment, μB/f.u.: 0.27

Entry from OQMD: an optimized crystal structure of CsSmCdSe3 (PBE).

Cell lengths 4.3454, 16.2485, 11.3159 Å; angles 90.00, 90.00, 90.00 degrees
Closest atoms and distances in Å follow each position.
Space group Cmcm (No. 63)
Symmetry-distinct sites (fractional):
Cs 0.0000 0.2457 0.2500 x4  8 Se 3.68-3.96
Sm 0.0000 0.5000 0.0000 x4  6 Se 2.97-3.01
Cd 0.0000 0.0373 0.7500 x4  4 Se 2.63-2.72
Se 0.0000 0.1193 0.5497 x8  1 Cd 2.63
Se 0.0000 0.4368 0.7500 x4  2 Cd 2.72, 2 Sm 3.01

## Properties
Energy, eV for the cell shown: -100.74
Magnetic moment, μB/f.u.: 0.00

Entry from OQMD: an optimized crystal structure of GdCoSi (PBE).

Cell lengths 4.0706, 4.0706, 6.5877 Å; angles 90.00, 90.00, 90.00 degrees
Closest atoms and distances in Å follow each position.
Space group P4/nmm (No. 129, origin choice 2)
Symmetry-distinct sites (fractional):
Gd 0.2500 0.7500 0.0000 x2  4 Gd 2.88, 4 Si 2.99, 4 Co 2.99
Co 0.2500 0.2500 0.3327 x2  1 Si 2.21
Si 0.2500 0.2500 0.6679 x2  1 Co 2.21

## Properties
Energy, eV for the cell shown: -32.79
Magnetic moment, μB/f.u.: 0.24

Entry from OQMD: an optimized crystal structure of Li2Hf2Ga2NiPt (PBE).

Cell lengths 4.3710, 4.3710, 6.2264 Å; angles 90.00, 90.00, 90.00 degrees
Closest atoms and distances in Å follow each position.
Space group P-4m2 (No. 115)
Symmetry-distinct sites (fractional):
Li 0.0000 0.0000 0.0000 x1  4 Hf 2.65, 4 Ga 2.65
Li 0.5000 0.5000 0.5000 x1  4 Ga 2.72, 4 Hf 2.72
Hf 0.0000 0.5000 0.2399 x2  4 Li 2.65-2.72, 2 Ni 2.65, 2 Pt 2.72
Ga 0.0000 0.5000 0.7599 x2  2 Ni 2.65, 4 Li 2.65-2.72, 2 Pt 2.72
Ni 0.5000 0.5000 0.0000 x1  4 Hf 2.65, 4 Ga 2.65
Pt 0.0000 0.0000 0.5000 x1  4 Ga 2.72, 4 Hf 2.72

## Properties
Energy, eV for the cell shown: -46.59
Magnetic moment, μB/f.u.: 0.00

Entry from OQMD: an optimized crystal structure of Nb4Cu2CN (PBE).

Cell lengths 3.1464, 3.1464, 13.1358 Å; angles 90.00, 90.00, 120.00 degrees
Closest atoms and distances in Å follow each position.
Space group P-3m1 (No. 164)
Symmetry-distinct sites (fractional):
Nb 0.3333 0.6667 0.0925 x2  3 C 2.19
Nb 0.3333 0.6667 0.4102 x2  3 N 2.17
Cu 0.3333 0.6667 0.7481 x2  6 Nb 2.76-2.77
C 0.0000 0.0000 0.0000 x1  6 Nb 2.19
N 0.0000 0.0000 0.5000 x1  6 Nb 2.17

## Properties
Energy, eV for the cell shown: -67.67
Magnetic moment, μB/f.u.: 0.00

Entry from OQMD: an optimized crystal structure of ErAgB (PBE).

Cell lengths 6.3314, 6.3314, 6.3314 Å; angles 90.00, 90.00, 90.00 degrees
Closest atoms and distances in Å follow each position.
Space group F-43m (No. 216)
Symmetry-distinct sites (fractional):
Er 0.0000 0.0000 0.0000 x4  4 B 2.74, 4 Ag 2.74
Ag 0.2500 0.2500 0.7500 x4  4 Er 2.74
B 0.2500 0.2500 0.2500 x4  4 Er 2.74

## Properties
Energy above the most stable polymorph in this dataset, meV/atom: 753.0
Energy, eV for the cell shown: -45.87
Magnetic moment, μB/f.u.: 0.05

Entry from OQMD: an optimized crystal structure of SbPd4C2S (PBE).

Cell lengths 3.3106, 3.3106, 12.5687 Å; angles 90.00, 90.00, 120.00 degrees
Closest atoms and distances in Å follow each position.
Space group P-6m2 (No. 187)
Symmetry-distinct sites (fractional):
Sb 0.0000 0.0000 0.0000 x1  6 Pd 3.02, 6 Sb 3.31
Pd 0.0000 0.0000 0.3585 x2  3 C 2.21
Pd 0.6667 0.3333 0.1862 x2  3 C 2.19
C 0.3333 0.6667 0.2710 x2  6 Pd 2.19-2.21
S 0.6667 0.3333 0.5000 x1  6 Pd 2.61

## Properties
Energy, eV for the cell shown: -42.51

Entry from OQMD: an optimized crystal structure of Rb2NaCdCl6 (PBE).

Cell lengths 7.3034, 7.3034, 10.8044 Å; angles 90.00, 90.00, 90.00 degrees
Closest atoms and distances in Å follow each position.
Space group I4/m (No. 87)
Symmetry-distinct sites (fractional):
Rb 0.0000 0.5000 0.2500 x4  8 Cl 3.35-3.65
Na 0.0000 0.0000 0.0000 x2  6 Cl 2.71-2.77
Cd 0.0000 0.0000 0.5000 x2  6 Cl 2.60-2.64
Cl 0.0000 0.0000 0.2561 x4  1 Cd 2.64, 1 Na 2.77
Cl 0.1863 0.6970 0.5000 x8  1 Cd 2.60, 1 Na 2.71

## Properties
Energy, eV for the cell shown: -58.23

Entry from OQMD: an optimized crystal structure of AcGa2Cu2 (PBE).

Cell lengths 4.3991, 4.3991, 10.1502 Å; angles 90.00, 90.00, 90.00 degrees
Closest atoms and distances in Å follow each position.
Space group P4/nmm (No. 129, origin choice 2)
Symmetry-distinct sites (fractional):
Ac 0.2500 0.2500 0.2451 x2  8 Cu 3.32-3.36, 8 Ga 3.35-3.40
Ga 0.2500 0.2500 0.8772 x2  5 Cu 2.52-2.53
Ga 0.2500 0.7500 0.5000 x2  4 Cu 2.56
Cu 0.2500 0.2500 0.6286 x2  5 Ga 2.52-2.56
Cu 0.2500 0.7500 0.0000 x2  4 Ga 2.53

## Properties
Energy, eV for the cell shown: -39.14
Magnetic moment, μB/f.u.: 0.01

Entry from OQMD: an optimized crystal structure of Ta3NbIn2C2 (PBE).

Cell lengths 3.1777, 3.1777, 14.5013 Å; angles 90.00, 90.00, 120.00 degrees
Closest atoms and distances in Å follow each position.
Space group P3m1 (No. 156)
Symmetry-distinct sites (fractional):
Ta 0.0000 0.0000 0.0000 x1  3 C 2.19
Ta 0.0000 0.0000 0.3343 x1  3 C 2.18
Ta 0.3333 0.6667 0.8346 x1  3 C 2.19
Nb 0.3333 0.6667 0.5001 x1  3 C 2.20
In 0.0000 0.0000 0.6671 x1  3 Nb 3.04, 3 Ta 3.04, 6 In 3.18
In 0.3333 0.6667 0.1671 x1  6 Ta 3.04, 6 In 3.18
C 0.6667 0.3333 0.4158 x1  3 Ta 2.18, 3 Nb 2.20
C 0.6667 0.3333 0.9172 x1  6 Ta 2.19

## Properties
Energy, eV for the cell shown: -72.70
Magnetic moment, μB/f.u.: 0.00